Entry 1:
PrEuCu (PBE, optimized geometry); formation energy from the elements = 92 meV per atom; electronic total energy = -18.874 eV for the cell shown; V = 94 Å³ per cell; excess energy over the best structure of this formula in the dataset = 138.8 meV/atom; D(E_F) = 2.024 states/eV/atom
1.0
3.880 0.000 0.000
-1.940 3.360 0.000
0.000 0.000 7.240
Pr Eu Cu
1 1 1
direct
0.000 0.000 0.000
0.333 0.667 0.542
0.667 0.333 0.260

***

Entry 2:
PrEuCu (PBE, optimized geometry); formation energy from the elements = 103 meV per atom; electronic total energy = -18.841 eV for the cell shown; V = 92 Å³ per cell; excess energy over the best structure of this formula in the dataset = 149.9 meV/atom; D(E_F) = 1.532 states/eV/atom
1.0
0.000 3.583 3.583
3.583 0.000 3.583
3.583 3.583 0.000
Pr Eu Cu
1 1 1
direct
0.000 0.000 0.000
0.500 0.500 0.500
0.750 0.750 0.750

***

Entry 3:
Pr3EuCu (PBE, optimized geometry); formation energy from the elements = 127 meV per atom; electronic total energy = -28.073 eV for the cell shown; V = 183 Å³ per cell; D(E_F) = 1.869 states/eV/atom
1.0
5.679 0.000 0.000
0.000 5.679 0.000
0.000 0.000 5.679
Pr Eu Cu
3 1 1
direct
0.000 0.000 0.500
0.000 0.500 0.000
0.500 0.000 0.000
0.500 0.500 0.500
0.000 0.000 0.000

***

Entry 4:
PrEu3Cu (PBE, optimized geometry); formation energy from the elements = 126 meV per atom; electronic total energy = -39.070 eV for the cell shown; V = 189 Å³ per cell; D(E_F) = 4.710 states/eV/atom
1.0
5.739 0.000 0.000
0.000 5.739 0.000
0.000 0.000 5.739
Pr Eu Cu
1 3 1
direct
0.000 0.000 0.000
0.000 0.500 0.500
0.500 0.000 0.500
0.500 0.500 0.000
0.500 0.500 0.500

***

Entry 5:
Pr2EuCu (PBE, optimized geometry); formation energy from the elements = 76 meV per atom; electronic total energy = -23.624 eV for the cell shown; V = 130 Å³ per cell; excess energy over the best structure of this formula in the dataset = 92.3 meV/atom; D(E_F) = 1.330 states/eV/atom
1.0
1.901 1.097 10.415
-1.901 1.097 10.415
0.000 -2.195 10.415
Pr Eu Cu
2 1 1
direct
0.231 0.231 0.231
0.769 0.769 0.769
0.000 0.000 0.000
0.500 0.500 0.500

***

Entry 6:
Pr2EuCu (PBE, optimized geometry); formation energy from the elements = -16 meV per atom; electronic total energy = -23.993 eV for the cell shown; V = 125 Å³ per cell; excess energy over the best structure of this formula in the dataset = 0.0 meV/atom; D(E_F) = 1.289 states/eV/atom
1.0
3.709 0.000 0.000
0.000 3.709 0.000
0.000 0.000 9.052
Pr Eu Cu
2 1 1
direct
0.000 0.000 0.187
0.000 0.000 0.813
0.500 0.500 0.500
0.500 0.500 0.000